# 1
SrTh5Bi6 PBE relaxed; formation energy = -14.53 kcal/mol of atoms; crystal system = monoclinic; symmetry = C2/m (12)
1.0
4.0032 -6.9268 0.0000
4.0032 6.9268 0.0000
-2.6640 0.0000 7.5742
Sr Th Bi
1 5 6
Cartesian
0.0000 0.0000 0.0000 Sr
2.6712 4.6801 3.7871 Th
4.0032 2.3219 0.0000 Th
2.6712 0.0000 3.7871 Th
4.0032 -2.3219 0.0000 Th
2.6712 -4.6801 3.7871 Th
1.3566 2.3407 1.9272 Bi
0.0415 0.0000 5.6963 Bi
1.3566 -2.3407 1.9272 Bi
3.9858 2.3407 5.6470 Bi
5.3010 0.0000 1.8778 Bi
3.9858 -2.3407 5.6470 Bi


# 2
CaWBr2 PBE relaxed; offset from the most stable computed form = 479 meV per atom; formation energy (no corrections) = 0.403 eV/atom; crystal system = orthorhombic; symmetry = Cmmm (65)
1.0
1.6293 -3.1315 0.0000
1.6293 3.1315 0.0000
0.0000 0.0000 9.4211
Ca W Br
1 1 2
Cartesian
0.0000 0.0000 0.0000 Ca
0.0000 0.0000 4.7106 W
1.6293 0.0000 2.6331 Br
1.6293 0.0000 6.7880 Br